Entry 1:
Computed, not measured: an optimized crystal structure of YErBe4 at the PBE level of DFT.

a b c (Å): 5.024 5.024 5.024
angles (deg): 60.00 60.00 60.00
Element x y z (fractional)
Y: 0.000 0.000 0.000
Er: 0.750 0.750 0.750
Be: 0.375 0.375 0.375
Be: 0.375 0.375 0.874
Be: 0.375 0.874 0.375
Be: 0.874 0.375 0.375

Calculated values
- energy relative to the elements (eV per atom) = 0.081


Entry 2:
Computed, not measured: an optimized crystal structure of La2CoHgI at the PBE level of DFT.

a b c (Å): 5.314 5.314 5.090
angles (deg): 90.00 90.00 90.00
Element x y z (fractional)
La: 0.000 0.500 0.000
La: 0.500 0.000 0.000
Co: 0.000 0.000 0.000
Hg: 0.000 0.000 0.500
I: 0.500 0.500 0.500

Calculated values
- formation energy (no corrections) (eV per atom) = -0.51


Entry 3:
Computed, not measured: an optimized crystal structure of LiP2SI at the PBE level of DFT.

a b c (Å): 4.738 4.738 4.778
angles (deg): 90.00 90.00 90.00
Element x y z (fractional)
Li: 0.000 0.000 0.000
P: 0.000 0.500 0.500
P: 0.500 0.000 0.500
S: 0.000 0.000 0.500
I: 0.500 0.500 0.000

Calculated values
- distance to the lowest polymorph of the same formula (eV per atom) = 0.0000
- formation energy (no corrections) (eV per atom) = 0.35


Entry 4:
Computed, not measured: an optimized crystal structure of KSnAu2 at the PBE level of DFT.

a b c (Å): 8.280 7.248 7.107
angles (deg): 90.00 90.00 90.00
Element x y z (fractional)
K: 0.008 0.250 0.150
K: 0.492 0.750 0.650
K: 0.508 0.250 0.350
K: 0.992 0.750 0.850
Sn: 0.145 0.750 0.349
Sn: 0.355 0.250 0.849
Sn: 0.645 0.750 0.151
Sn: 0.855 0.250 0.651
Au: 0.172 0.055 0.574
Au: 0.172 0.445 0.574
Au: 0.328 0.555 0.074
Au: 0.328 0.945 0.074
Au: 0.672 0.055 0.926
Au: 0.672 0.445 0.926
Au: 0.828 0.555 0.426
Au: 0.828 0.945 0.426

Calculated values
- energy relative to the elements (eV per atom) = -0.301


Entry 5:
Computed, not measured: an optimized crystal structure of BeFeCu2 at the PBE level of DFT.

a b c (Å): 2.647 4.021 4.111
angles (deg): 90.00 90.00 90.00
Element x y z (fractional)
Be: 0.000 0.000 0.000
Fe: 0.500 0.500 0.000
Cu: 0.000 0.500 0.500
Cu: 0.500 0.000 0.500

Calculated values
- energy relative to the elements (eV per atom) = 0.112


Entry 6:
Computed, not measured: an optimized crystal structure of Pm3NdSm3Se8 at the PBE level of DFT.

a b c (Å): 8.350 8.350 8.350
angles (deg): 59.96 59.96 59.96
Element x y z (fractional)
Pm: 0.000 0.500 0.500
Pm: 0.500 0.000 0.500
Pm: 0.500 0.500 0.000
Nd: 0.500 0.500 0.500
Sm: 0.000 0.000 0.500
Sm: 0.000 0.500 0.000
Sm: 0.500 0.000 0.000
Se: 0.244 0.755 0.755
Se: 0.245 0.245 0.756
Se: 0.245 0.756 0.245
Se: 0.249 0.249 0.249
Se: 0.751 0.751 0.751
Se: 0.755 0.244 0.755
Se: 0.755 0.755 0.244
Se: 0.756 0.245 0.245

Calculated values
- formation energy (no corrections) (eV per atom) = -1.87


Entry 7:
Computed, not measured: an optimized crystal structure of TcMo2Os at the PBE level of DFT.

a b c (Å): 2.765 3.940 5.594
angles (deg): 90.00 90.00 90.00
Element x y z (fractional)
Tc: 0.000 0.000 0.000
Mo: 0.000 0.000 0.512
Mo: 0.500 0.500 0.246
Os: 0.500 0.500 0.756

Calculated values
- distance to the lowest polymorph of the same formula (eV per atom) = 0.0488
- energy relative to the elements (eV per atom) = 0.154


Entry 8:
Computed, not measured: an optimized crystal structure of SiP2C at the PBE level of DFT.

a b c (Å): 8.264 8.264 8.264
angles (deg): 22.45 22.45 22.45
Element x y z (fractional)
Si: 0.000 0.000 0.000
P: 0.554 0.554 0.554
P: 0.714 0.714 0.714
C: 0.921 0.921 0.921

Calculated values
- distance to the lowest polymorph of the same formula (eV per atom) = 0.1477
- formation energy (no corrections) (eV per atom) = 0.34


Entry 9:
Computed, not measured: an optimized crystal structure of SrReRu2 at the PBE level of DFT.

a b c (Å): 4.608 4.608 4.608
angles (deg): 60.00 60.00 60.00
Element x y z (fractional)
Sr: 0.000 0.000 0.000
Re: 0.500 0.500 0.500
Ru: 0.250 0.250 0.250
Ru: 0.750 0.750 0.750

Calculated values
- distance to the lowest polymorph of the same formula (eV per atom) = 0.3843
- energy relative to the elements (eV per atom) = 0.823


Entry 10:
Computed, not measured: an optimized crystal structure of MnTc12B6 at the PBE level of DFT.

a b c (Å): 6.583 6.583 6.583
angles (deg): 109.47 109.47 109.47
Element x y z (fractional)
Mn: 0.000 0.000 0.000
Tc: 0.110 0.295 0.815
Tc: 0.185 0.480 0.295
Tc: 0.185 0.890 0.705
Tc: 0.295 0.185 0.480
Tc: 0.295 0.815 0.110
Tc: 0.480 0.295 0.185
Tc: 0.520 0.705 0.815
Tc: 0.705 0.185 0.890
Tc: 0.705 0.815 0.520
Tc: 0.815 0.110 0.295
Tc: 0.815 0.520 0.705
Tc: 0.890 0.705 0.185
B: 0.116 0.500 0.616
B: 0.384 0.884 0.500
B: 0.500 0.384 0.884
B: 0.500 0.616 0.116
B: 0.616 0.116 0.500
B: 0.884 0.500 0.384

Calculated values
- energy relative to the elements (eV per atom) = -0.274


Entry 11:
Computed, not measured: an optimized crystal structure of Si5W at the PBE level of DFT.

a b c (Å): 6.205 6.205 3.346
angles (deg): 90.00 90.00 139.01
Element x y z (fractional)
Si: 0.000 0.000 0.000
Si: 0.147 0.853 0.500
Si: 0.314 0.686 0.000
Si: 0.686 0.314 0.000
Si: 0.853 0.147 0.500
W: 0.500 0.500 0.500

Calculated values
- distance to the lowest polymorph of the same formula (eV per atom) = 0.0783
- formation energy (no corrections) (eV per atom) = 0.30


Entry 12:
Computed, not measured: an optimized crystal structure of Pr8ZnOs2 at the PBE level of DFT.

a b c (Å): 7.938 7.938 6.090
angles (deg): 98.70 98.70 112.66
Element x y z (fractional)
Pr: 0.000 0.000 0.000
Pr: 0.036 0.300 0.609
Pr: 0.142 0.610 0.202
Pr: 0.300 0.036 0.609
Pr: 0.444 0.709 0.802
Pr: 0.610 0.142 0.202
Pr: 0.709 0.444 0.802
Pr: 0.747 0.747 0.407
Zn: 0.380 0.380 0.090
Os: 0.065 0.683 0.709
Os: 0.683 0.065 0.709

Calculated values
- energy relative to the elements (eV per atom) = 0.009


no.,Fermi-level density of states (states/eV per cell)
1,3.50
2,4.06
3,2.84
4,4.46
5,2.11
6,6.61
7,3.69
8,0.34
9,7.13
10,11.53
11,2.06
12,14.34